Record 1
Here is crystalline Ac4Nb6O19 at its relaxed geometry from Alexandria. Energies are from PBE.

The structure belongs to space group I23 (No. 197); the cell edges are 9.3579, 9.3579 and 9.3579 Å and the angles 90.00°, 90.00° and 90.00°. The inequivalent atoms are Ac at (0.1582, 0.1582, 0.1582), Nb at (0.0000, 0.1501, 0.5000), O at (0.0000, 0.0000, 0.0000), O at (0.0000, 0.0000, 0.3363) and O at (0.0364, 0.2905, 0.6728).

The value obtained for the total DFT energy (no corrections) is -508.62 eV for the cell shown. For the formation energy from raw total energies, the calculation gives -83.252 eV/f.u.

Record 2
Here is crystalline Sc2VRu at its relaxed geometry from Alexandria. Energies are from PBE.

The structure belongs to space group P4/mmm (No. 123); the cell edges are 3.1569, 3.1569 and 7.0539 Å and the angles 90.00°, 90.00° and 90.00°. The inequivalent atoms are Sc at (0.0000, 0.0000, 0.2250), V at (0.5000, 0.5000, 0.5000) and Ru at (0.5000, 0.5000, 0.0000).

The calculation puts the energy above the lowest structure with this stoichiometry at 5.9 kJ per mole of atoms. The value obtained for the total DFT energy (no corrections) is -31.42 eV for the cell shown. Its formation energy is -90 meV/atom.